[1]
Here is a relaxed AlReP2S crystal from Alexandria via LeMat-Bulk. Energies are from PBE-GGA.

Values from the calculation:
total magnetic moment: 2.40 μB per formula unit
uncorrected energy: -24.9 eV for the cell shown
E above lowest polymorph: 691.6 meV per atom

CIF file:
```
data_AlReP2S
_symmetry_space_group_name_H-M 'P 1'
_symmetry_Int_Tables_number 1
_cell_length_a 4.533
_cell_length_b 4.533
_cell_length_c 4.505
_cell_angle_alpha 90.00
_cell_angle_beta 90.00
_cell_angle_gamma 90.00
loop_
_symmetry_equiv_pos_as_xyz
'x,y,z'
loop_
_atom_site_label
_atom_site_type_symbol
_atom_site_fract_x
_atom_site_fract_y
_atom_site_fract_z
S1 S 0.000 0.000 0.500
P1 P 0.500 0.000 0.000
P2 P 0.000 0.500 0.000
Re1 Re 0.500 0.500 0.500
Al1 Al 0.000 0.000 0.000
```


[2]
Here is a relaxed MnCoGe crystal from Alexandria via LeMat-Bulk. Energies are from PBE-GGA.

Values from the calculation:
total magnetic moment: 3.23 μB per formula unit
uncorrected energy: -42.9 eV for the cell shown
DFT formation energy: -0.192 eV/atom

CIF file:
```
data_MnCoGe
_symmetry_space_group_name_H-M 'P 1'
_symmetry_Int_Tables_number 1
_cell_length_a 4.084
_cell_length_b 4.084
_cell_length_c 5.127
_cell_angle_alpha 90.00
_cell_angle_beta 90.00
_cell_angle_gamma 120.00
loop_
_symmetry_equiv_pos_as_xyz
'x,y,z'
loop_
_atom_site_label
_atom_site_type_symbol
_atom_site_fract_x
_atom_site_fract_y
_atom_site_fract_z
Mn1 Mn 0.000 0.000 0.500
Mn2 Mn 0.000 0.000 0.000
Ge1 Ge 0.667 0.333 0.750
Ge2 Ge 0.333 0.667 0.250
Co1 Co 0.333 0.667 0.750
Co2 Co 0.667 0.333 0.250
```


[3]
Here is a relaxed Tc2MoAs crystal from Alexandria via LeMat-Bulk. Energies are from PBE-GGA.

Values from the calculation:
total magnetic moment: 0.00 μB per formula unit
uncorrected energy: -35.6 eV for the cell shown
DFT formation energy: 0.156 eV/atom

CIF file:
```
data_Tc2MoAs
_symmetry_space_group_name_H-M 'P 1'
_symmetry_Int_Tables_number 1
_cell_length_a 4.992
_cell_length_b 4.992
_cell_length_c 4.992
_cell_angle_alpha 135.79
_cell_angle_beta 135.79
_cell_angle_gamma 64.30
loop_
_symmetry_equiv_pos_as_xyz
'x,y,z'
loop_
_atom_site_label
_atom_site_type_symbol
_atom_site_fract_x
_atom_site_fract_y
_atom_site_fract_z
Tc1 Tc 0.500 0.500 0.000
Tc2 Tc 0.000 0.000 0.000
Mo1 Mo 0.750 0.250 0.500
As1 As 0.250 0.750 0.500
```


[4]
Here is a relaxed ZrAl8Co4 crystal from Alexandria via LeMat-Bulk. Energies are from PBE-GGA.

Values from the calculation:
total magnetic moment: 0.00 μB per formula unit
uncorrected energy: -73.7 eV for the cell shown
DFT formation energy: -0.520 eV/atom

CIF file:
```
data_ZrAl8Co4
_symmetry_space_group_name_H-M 'P 1'
_symmetry_Int_Tables_number 1
_cell_length_a 5.068
_cell_length_b 6.480
_cell_length_c 6.480
_cell_angle_alpha 81.20
_cell_angle_beta 66.98
_cell_angle_gamma 66.98
loop_
_symmetry_equiv_pos_as_xyz
'x,y,z'
loop_
_atom_site_label
_atom_site_type_symbol
_atom_site_fract_x
_atom_site_fract_y
_atom_site_fract_z
Co1 Co 0.000 0.000 0.500
Co2 Co 0.500 0.500 0.000
Co3 Co 0.000 0.500 0.000
Co4 Co 0.500 0.000 0.500
Al1 Al 0.500 0.220 0.780
Al2 Al 0.720 0.780 0.780
Al3 Al 0.000 0.336 0.664
Al4 Al 0.280 0.220 0.220
Al5 Al 0.000 0.664 0.336
Al6 Al 0.336 0.664 0.664
Al7 Al 0.664 0.336 0.336
Al8 Al 0.500 0.780 0.220
Zr1 Zr 0.000 0.000 0.000
```


[5]
Here is a relaxed VAu2Cl crystal from Alexandria via LeMat-Bulk. Energies are from PBE-GGA.

Values from the calculation:
total magnetic moment: 2.19 μB per formula unit
uncorrected energy: -15.6 eV for the cell shown
E above lowest polymorph: 318.7 meV per atom

CIF file:
```
data_VAu2Cl
_symmetry_space_group_name_H-M 'P 1'
_symmetry_Int_Tables_number 1
_cell_length_a 4.723
_cell_length_b 4.723
_cell_length_c 4.723
_cell_angle_alpha 60.00
_cell_angle_beta 60.00
_cell_angle_gamma 60.00
loop_
_symmetry_equiv_pos_as_xyz
'x,y,z'
loop_
_atom_site_label
_atom_site_type_symbol
_atom_site_fract_x
_atom_site_fract_y
_atom_site_fract_z
Au1 Au 0.750 0.750 0.750
Au2 Au 0.250 0.250 0.250
V1 V 0.500 0.500 0.500
Cl1 Cl 0.000 0.000 0.000
```


[6]
Here is a relaxed LaPm8Th2 crystal from Alexandria via LeMat-Bulk. Energies are from PBE-GGA.

Values from the calculation:
total magnetic moment: 0.00 μB per formula unit
uncorrected energy: -55.7 eV for the cell shown
DFT formation energy: 0.189 eV/atom

CIF file:
```
data_LaPm8Th2
_symmetry_space_group_name_H-M 'P 1'
_symmetry_Int_Tables_number 1
_cell_length_a 6.078
_cell_length_b 7.589
_cell_length_c 9.515
_cell_angle_alpha 111.19
_cell_angle_beta 105.83
_cell_angle_gamma 96.72
loop_
_symmetry_equiv_pos_as_xyz
'x,y,z'
loop_
_atom_site_label
_atom_site_type_symbol
_atom_site_fract_x
_atom_site_fract_y
_atom_site_fract_z
Pm1 Pm 0.716 0.424 0.000
Pm2 Pm 0.915 0.101 0.760
Pm3 Pm 0.155 0.341 0.240
Pm4 Pm 0.845 0.659 0.760
Pm5 Pm 0.284 0.576 0.000
Pm6 Pm 0.085 0.899 0.240
Pm7 Pm 0.706 0.206 0.411
Pm8 Pm 0.294 0.794 0.589
La1 La 0.500 0.000 0.000
Th1 Th 0.308 0.308 0.616
Th2 Th 0.692 0.692 0.384
```


[7]
Here is a relaxed Ca3AcPr2Te6 crystal from Alexandria via LeMat-Bulk. Energies are from PBE-GGA.

Values from the calculation:
total magnetic moment: 0.00 μB per formula unit
uncorrected energy: -56.9 eV for the cell shown

CIF file:
```
data_Ca3AcPr2Te6
_symmetry_space_group_name_H-M 'P 1'
_symmetry_Int_Tables_number 1
_cell_length_a 7.823
_cell_length_b 7.823
_cell_length_c 8.002
_cell_angle_alpha 99.41
_cell_angle_beta 99.41
_cell_angle_gamma 119.94
loop_
_symmetry_equiv_pos_as_xyz
'x,y,z'
loop_
_atom_site_label
_atom_site_type_symbol
_atom_site_fract_x
_atom_site_fract_y
_atom_site_fract_z
Ca1 Ca 0.164 0.836 0.500
Ca2 Ca 0.500 0.500 0.500
Ca3 Ca 0.836 0.164 0.500
Te1 Te 0.427 0.087 0.261
Te2 Te 0.253 0.253 0.740
Te3 Te 0.087 0.427 0.261
Te4 Te 0.747 0.747 0.260
Te5 Te 0.913 0.573 0.739
Te6 Te 0.573 0.913 0.739
Pr1 Pr 0.667 0.333 0.000
Pr2 Pr 0.333 0.667 0.000
Ac1 Ac 0.000 0.000 0.000
```


[8]
Here is a relaxed NaSr4Er3Te8 crystal from Alexandria via LeMat-Bulk. Energies are from PBE-GGA.

Values from the calculation:
total magnetic moment: 0.00 μB per formula unit
uncorrected energy: -70.5 eV for the cell shown

CIF file:
```
data_NaSr4Er3Te8
_symmetry_space_group_name_H-M 'P 1'
_symmetry_Int_Tables_number 1
_cell_length_a 9.063
_cell_length_b 9.112
_cell_length_c 9.063
_cell_angle_alpha 119.82
_cell_angle_beta 120.00
_cell_angle_gamma 90.00
loop_
_symmetry_equiv_pos_as_xyz
'x,y,z'
loop_
_atom_site_label
_atom_site_type_symbol
_atom_site_fract_x
_atom_site_fract_y
_atom_site_fract_z
Te1 Te 0.754 0.271 0.017
Te2 Te 0.257 0.272 0.515
Te3 Te 0.743 0.728 0.485
Te4 Te 0.246 0.729 0.492
Te5 Te 0.754 0.271 0.508
Te6 Te 0.246 0.729 0.983
Te7 Te 0.737 0.729 0.983
Te8 Te 0.263 0.271 0.017
Er1 Er 0.000 0.500 0.500
Er2 Er 0.500 0.500 0.500
Er3 Er 0.500 0.500 0.000
Sr1 Sr 0.500 0.000 0.000
Sr2 Sr 0.500 0.000 0.500
Sr3 Sr 0.000 0.000 0.500
Sr4 Sr 0.000 0.000 0.000
Na1 Na 0.000 0.500 0.000
```


[9]
Here is a relaxed Mg3C2 crystal from Alexandria via LeMat-Bulk. Energies are from PBE-GGA.

Values from the calculation:
total magnetic moment: 0.57 μB per formula unit
uncorrected energy: -39.3 eV for the cell shown
DFT formation energy: 0.714 eV/atom
E above lowest polymorph: 14.5 meV per atom

CIF file:
```
data_Mg3C2
_symmetry_space_group_name_H-M 'P 1'
_symmetry_Int_Tables_number 1
_cell_length_a 6.034
_cell_length_b 5.968
_cell_length_c 5.608
_cell_angle_alpha 62.74
_cell_angle_beta 61.55
_cell_angle_gamma 55.71
loop_
_symmetry_equiv_pos_as_xyz
'x,y,z'
loop_
_atom_site_label
_atom_site_type_symbol
_atom_site_fract_x
_atom_site_fract_y
_atom_site_fract_z
Mg1 Mg 0.629 0.562 0.859
Mg2 Mg 0.299 0.391 0.688
Mg3 Mg 0.067 0.933 0.067
Mg4 Mg 0.317 0.183 0.317
Mg5 Mg 0.859 0.951 0.629
Mg6 Mg 0.688 0.621 0.299
C1 C 0.664 0.266 0.282
C2 C 0.462 0.968 0.984
C3 C 0.984 0.586 0.462
C4 C 0.282 0.788 0.664
```


[10]
Here is a relaxed SeN crystal from Alexandria via LeMat-Bulk. Energies are from PBE-GGA.

Values from the calculation:
total magnetic moment: 0.00 μB per formula unit
uncorrected energy: -158.4 eV for the cell shown

CIF file:
```
data_SeN
_symmetry_space_group_name_H-M 'P 1'
_symmetry_Int_Tables_number 1
_cell_length_a 10.994
_cell_length_b 14.418
_cell_length_c 4.556
_cell_angle_alpha 90.00
_cell_angle_beta 90.00
_cell_angle_gamma 90.00
loop_
_symmetry_equiv_pos_as_xyz
'x,y,z'
loop_
_atom_site_label
_atom_site_type_symbol
_atom_site_fract_x
_atom_site_fract_y
_atom_site_fract_z
N1 N 0.000 0.088 0.000
N2 N 0.250 0.838 0.250
N3 N 0.250 0.162 0.750
N4 N 0.750 0.662 0.750
N5 N 0.000 0.588 0.500
N6 N 0.500 0.412 0.000
N7 N 0.750 0.338 0.250
N8 N 0.750 0.838 0.750
N9 N 0.250 0.662 0.250
N10 N 0.500 0.588 0.000
N11 N 0.750 0.162 0.250
N12 N 0.000 0.412 0.500
N13 N 0.250 0.338 0.750
N14 N 0.500 0.088 0.500
N15 N 0.500 0.912 0.500
N16 N 0.000 0.912 0.000
Se1 Se 0.630 0.250 0.250
Se2 Se 0.130 0.750 0.250
Se3 Se 0.870 0.250 0.250
Se4 Se 0.120 0.500 0.500
Se5 Se 0.620 0.000 0.500
Se6 Se 0.380 0.500 0.000
Se7 Se 0.370 0.750 0.250
Se8 Se 0.370 0.250 0.750
Se9 Se 0.630 0.750 0.750
Se10 Se 0.880 0.000 0.000
Se11 Se 0.130 0.250 0.750
Se12 Se 0.120 0.000 0.000
Se13 Se 0.620 0.500 0.000
Se14 Se 0.880 0.500 0.500
Se15 Se 0.380 0.000 0.500
Se16 Se 0.870 0.750 0.750
```


[11]
Here is a relaxed LaScGa2Pt2 crystal from Alexandria via LeMat-Bulk. Energies are from PBE-GGA.

Values from the calculation:
total magnetic moment: 0.00 μB per formula unit
uncorrected energy: -35.8 eV for the cell shown
DFT formation energy: -1.075 eV/atom

CIF file:
```
data_LaScGa2Pt2
_symmetry_space_group_name_H-M 'P 1'
_symmetry_Int_Tables_number 1
_cell_length_a 4.461
_cell_length_b 4.461
_cell_length_c 7.017
_cell_angle_alpha 90.00
_cell_angle_beta 90.00
_cell_angle_gamma 120.00
loop_
_symmetry_equiv_pos_as_xyz
'x,y,z'
loop_
_atom_site_label
_atom_site_type_symbol
_atom_site_fract_x
_atom_site_fract_y
_atom_site_fract_z
Pt1 Pt 0.333 0.667 0.705
Pt2 Pt 0.667 0.333 0.295
Ga1 Ga 0.333 0.667 0.300
Ga2 Ga 0.667 0.333 0.700
La1 La 0.000 0.000 0.000
Sc1 Sc 0.000 0.000 0.500
```


[12]
Here is a relaxed BeIn2Co crystal from Alexandria via LeMat-Bulk. Energies are from PBE-GGA.

Values from the calculation:
total magnetic moment: 0.58 μB per formula unit
uncorrected energy: -15.6 eV for the cell shown
DFT formation energy: 0.167 eV/atom

CIF file:
```
data_BeIn2Co
_symmetry_space_group_name_H-M 'P 1'
_symmetry_Int_Tables_number 1
_cell_length_a 3.010
_cell_length_b 3.010
_cell_length_c 7.344
_cell_angle_alpha 90.00
_cell_angle_beta 90.00
_cell_angle_gamma 90.00
loop_
_symmetry_equiv_pos_as_xyz
'x,y,z'
loop_
_atom_site_label
_atom_site_type_symbol
_atom_site_fract_x
_atom_site_fract_y
_atom_site_fract_z
Co1 Co 0.500 0.500 0.685
In1 In 0.000 0.000 0.931
In2 In 0.500 0.500 0.308
Be1 Be 0.000 0.000 0.576
```